No. 1
Computed, not measured: an optimized crystal structure of La2Dy2Hg3 at the PBE-GGA level of DFT.

a = 5.2514 Å, b = 5.2523 Å, c = 9.2621 Å
α = 90.00°, β = 106.45°, γ = 120.08°
Last column: nearest neighbours and their distance in Å.
Positions (direct):
La (0.2585, 0.1292, 0.3872)  5 Hg 3.32-3.39, 3 La 3.61-3.62
La (0.7415, 0.8708, 0.6128)  5 Hg 3.32-3.39, 3 La 3.61-3.62
Dy (0.7539, 0.3771, 0.1302)  7 Hg 3.16-3.24
Dy (0.2461, 0.6229, 0.8698)  7 Hg 3.16-3.24
Hg (0.0000, 0.0000, 0.0000)  6 Dy 3.24, 2 La 3.39
Hg (0.5110, 0.2555, 0.7668)  4 Dy 3.16-3.18, 4 La 3.32
Hg (0.4890, 0.7445, 0.2332)  4 Dy 3.16-3.18, 4 La 3.32

Computed properties:
- Symmetry: C2/m
- Crystal system: monoclinic
- Formation energy from the elements: -0.34 eV/atom

No. 2
Computed, not measured: an optimized crystal structure of TbSm5Y2Ho at the PBE-GGA level of DFT.

a = 5.6635 Å, b = 10.4804 Å, c = 10.6325 Å
α = 90.00°, β = 90.00°, γ = 105.68°
Last column: nearest neighbours and their distance in Å.
Positions (direct):
Tb (0.5889, 0.1777, 0.9586)  5 Sm 3.05-3.32
Tb (0.4111, 0.8223, 0.4586)  5 Sm 3.05-3.32
Sm (0.3893, 0.7786, 0.0227)  6 Sm 3.51-3.85, 4 Y 3.58-3.62, 1 Ho 3.82
Sm (0.7185, 0.4370, 0.8111)  1 Tb 3.05, 1 Y 3.35
Sm (0.4804, 0.9608, 0.7417)  2 Tb 3.18-3.32, 2 Sm 3.51, 2 Y 3.52
Sm (0.2981, 0.5962, 0.7058)  4 Sm 3.44-3.84, 1 Tb 3.48, 3 Ho 3.51-3.79, 3 Y 3.53-3.78
Sm (0.9816, 0.9633, 0.5208)  2 Tb 3.24, 3 Y 3.46-3.57
Sm (0.6107, 0.2214, 0.5227)  6 Sm 3.51-3.85, 4 Y 3.58-3.62, 1 Ho 3.82
Sm (0.2815, 0.5630, 0.3111)  1 Tb 3.05, 1 Y 3.35
Sm (0.5196, 0.0392, 0.2417)  2 Tb 3.18-3.32, 2 Sm 3.51, 2 Y 3.52
Sm (0.7019, 0.4038, 0.2058)  4 Sm 3.44-3.84, 1 Tb 3.48, 3 Ho 3.51-3.79, 3 Y 3.53-3.78
Sm (0.0184, 0.0367, 0.0208)  2 Tb 3.24, 3 Y 3.46-3.57
Y (0.8846, 0.7693, 0.8174)  9 Sm 3.35-3.71, 1 Ho 3.69
Y (0.1117, 0.2233, 0.7354)  1 Ho 3.43, 7 Sm 3.48-3.78, 2 Tb 3.72
Y (0.1154, 0.2307, 0.3174)  9 Sm 3.35-3.71, 1 Ho 3.69
Y (0.8883, 0.7767, 0.2354)  1 Ho 3.43, 7 Sm 3.48-3.78, 2 Tb 3.72
Ho (0.7997, 0.5995, 0.5105)  2 Y 3.43-3.69, 8 Sm 3.51-3.82, 2 Tb 3.66
Ho (0.2003, 0.4005, 0.0105)  2 Y 3.43-3.69, 8 Sm 3.51-3.82, 2 Tb 3.66

Computed properties:
- Symmetry: Cmc2_1
- Crystal system: orthorhombic
- Formation energy from the elements: 0.15 eV/atom

No. 3
Computed, not measured: an optimized crystal structure of SiPd2Au at the PBE-GGA level of DFT.

a = 3.8759 Å, b = 3.8759 Å, c = 5.6225 Å
α = 69.84°, β = 69.84°, γ = 60.00°
Last column: nearest neighbours and their distance in Å.
Positions (direct):
Si (0.5000, 0.5000, 0.5000)  6 Pd 2.42
Au (0.0000, 0.0000, 0.0000)  6 Pd 2.78
Pd (0.7731, 0.7731, 0.6807)  3 Si 2.42
Pd (0.2269, 0.2269, 0.3193)  3 Si 2.42

Computed properties:
- Raw formation energy: -304.5 meV per atom
- Symmetry: R-3m
- Crystal system: trigonal